Entry 1:
The following is a PBE calculation of crystalline Tl2RhCl at its relaxed geometry, from the Alexandria database.

a = 3.474 Å, b = 3.474 Å, c = 7.926 Å
α = 90.00°, β = 90.00°, γ = 90.00°
Space group P4mm (No. 99)
Unique sites:
Tl1 0.000 0.000 0.000 (multiplicity 1)
Tl2 0.500 0.500 0.348 (multiplicity 1)
Rh1 0.500 0.500 0.838 (multiplicity 1)
Cl1 0.000 0.000 0.605 (multiplicity 1)

Results
Formation energy from raw total energies, eV per atom: 0.03
E above lowest polymorph, meV/atom: 200


Entry 2:
The following is a PBE calculation of crystalline LaThMgIn at its relaxed geometry, from the Alexandria database.

a = 7.799 Å, b = 7.799 Å, c = 7.799 Å
α = 90.00°, β = 90.00°, γ = 90.00°
Space group F-43m (No. 216)
Unique sites:
La1 0.000 0.000 0.000 (multiplicity 4)
Th1 0.000 0.000 0.500 (multiplicity 4)
Mg1 0.250 0.250 0.250 (multiplicity 4)
In1 0.250 0.250 0.750 (multiplicity 4)

Results
Formation enthalpy at 0 K, meV/atom: -186


Entry 3:
The following is a PBE calculation of crystalline Pm2IrSe at its relaxed geometry, from the Alexandria database.

a = 4.0962 Å, b = 4.0962 Å, c = 21.9286 Å
α = 90.00°, β = 90.00°, γ = 120.00°
Space group R3m (No. 160, hexagonal axes)
Unique sites:
Pm1 0.0000 0.0000 0.0000 (multiplicity 3)
Pm2 0.0000 0.0000 0.1848 (multiplicity 3)
Ir1 0.0000 0.0000 0.5918 (multiplicity 3)
Se1 0.0000 0.0000 0.4256 (multiplicity 3)

Results
Formation energy from raw total energies, eV per atom: -1.16
E above lowest polymorph, meV/atom: 43


Entry 4:
The following is a PBE calculation of crystalline MnAgSe3 at its relaxed geometry, from the Alexandria database.

a = 12.531 Å, b = 11.071 Å, c = 6.400 Å
α = 90.00°, β = 96.89°, γ = 90.00°
Space group C2/c (No. 15)
Unique sites:
Mn1 0.000 0.075 0.250 (multiplicity 4)
Mn2 0.000 0.258 0.750 (multiplicity 4)
Ag1 0.211 0.398 0.299 (multiplicity 8)
Se1 0.085 0.424 0.945 (multiplicity 8)
Se2 0.109 0.090 0.941 (multiplicity 8)
Se3 0.117 0.215 0.474 (multiplicity 8)

Results
Formation energy from raw total energies, eV per atom: -0.21
E above lowest polymorph, meV/atom: 0


Entry 5:
The following is a PBE calculation of crystalline Y2PS at its relaxed geometry, from the Alexandria database.

a = 3.9058 Å, b = 3.9058 Å, c = 20.5333 Å
α = 90.00°, β = 90.00°, γ = 120.00°
Space group R3m (No. 160, hexagonal axes)
Unique sites:
Y1 0.0000 0.0000 0.0000 (multiplicity 3)
Y2 0.0000 0.0000 0.1793 (multiplicity 3)
P1 0.0000 0.0000 0.5883 (multiplicity 3)
S1 0.0000 0.0000 0.7578 (multiplicity 3)

Results
Formation energy from raw total energies, eV per atom: -1.78
E above lowest polymorph, meV/atom: 99


Entry 6:
The following is a PBE calculation of crystalline HoPuRhO6 at its relaxed geometry, from the Alexandria database.

a = 5.2554 Å, b = 5.2554 Å, c = 10.1420 Å
α = 90.00°, β = 90.00°, γ = 120.00°
Space group P-31c (No. 163)
Unique sites:
Ho1 0.0000 0.0000 0.0000 (multiplicity 2)
Pu1 0.3333 0.6667 0.2500 (multiplicity 2)
Rh1 0.3333 0.6667 0.7500 (multiplicity 2)
O1 0.0085 0.3493 0.6359 (multiplicity 12)

Results
Formation energy from raw total energies, eV per atom: -2.35


Entry 7:
The following is a PBE calculation of crystalline KCrI3 at its relaxed geometry, from the Alexandria database.

a = 5.710 Å, b = 5.710 Å, c = 5.710 Å
α = 90.00°, β = 90.00°, γ = 90.00°
Space group Pm-3m (No. 221)
Unique sites:
K1 0.000 0.000 0.000 (multiplicity 1)
Cr1 0.500 0.500 0.500 (multiplicity 1)
I1 0.000 0.500 0.500 (multiplicity 3)

Results
Formation energy from raw total energies, eV per atom: -0.71


Entry 8:
The following is a PBE calculation of crystalline Zn2CuSi at its relaxed geometry, from the Alexandria database.

a = 2.652 Å, b = 4.562 Å, c = 9.599 Å
α = 90.00°, β = 90.00°, γ = 90.00°
Space group Cmm2 (No. 35)
Unique sites:
Zn1 0.000 0.000 0.000 (multiplicity 2)
Zn2 0.000 0.500 0.259 (multiplicity 2)
Cu1 0.000 0.000 0.493 (multiplicity 2)
Si1 0.000 0.500 0.715 (multiplicity 2)

Results
Formation energy from raw total energies, eV per atom: 0.14


Entry 9:
The following is a PBE calculation of crystalline SrRuSe2 at its relaxed geometry, from the Alexandria database.

a = 4.924 Å, b = 4.924 Å, c = 3.404 Å
α = 90.00°, β = 90.00°, γ = 90.00°
Space group P4/mmm (No. 123)
Unique sites:
Sr1 0.000 0.000 0.000 (multiplicity 1)
Ru1 0.500 0.500 0.000 (multiplicity 1)
Se1 0.000 0.500 0.500 (multiplicity 2)

Results
Formation energy from raw total energies, eV per atom: -0.34
E above lowest polymorph, meV/atom: 542


Entry 10:
The following is a PBE calculation of crystalline BaSiRh2 at its relaxed geometry, from the Alexandria database.

a = 3.217 Å, b = 3.430 Å, c = 14.875 Å
α = 90.00°, β = 90.00°, γ = 90.00°
Space group Imm2 (No. 44)
Unique sites:
Ba1 0.000 0.000 0.000 (multiplicity 2)
Si1 0.000 0.500 0.245 (multiplicity 2)
Rh1 0.000 0.000 0.354 (multiplicity 2)
Rh2 0.000 0.500 0.690 (multiplicity 2)

Results
Formation energy from raw total energies, eV per atom: -0.24


Entry 11:
The following is a PBE calculation of crystalline ErHfCuAg at its relaxed geometry, from the Alexandria database.

a = 6.858 Å, b = 6.858 Å, c = 6.858 Å
α = 90.00°, β = 90.00°, γ = 90.00°
Space group F-43m (No. 216)
Unique sites:
Er1 0.000 0.000 0.000 (multiplicity 4)
Hf1 0.000 0.000 0.500 (multiplicity 4)
Cu1 0.250 0.250 0.250 (multiplicity 4)
Ag1 0.250 0.250 0.750 (multiplicity 4)

Results
Formation enthalpy at 0 K, meV/atom: -52


Entry 12:
The following is a PBE calculation of crystalline Tb3Dy2Y2 at its relaxed geometry, from the Alexandria database.

a = 17.420 Å, b = 3.509 Å, c = 8.514 Å
α = 90.00°, β = 119.11°, γ = 90.00°
Space group C2/m (No. 12)
Unique sites:
Tb1 0.000 0.000 0.000 (multiplicity 2)
Tb2 0.212 0.000 0.302 (multiplicity 4)
Dy1 0.066 0.500 0.409 (multiplicity 4)
Y1 0.147 0.000 0.825 (multiplicity 4)

Results
Formation enthalpy at 0 K, meV/atom: 110
E above lowest polymorph, meV/atom: 58


Entry 13:
The following is a PBE calculation of crystalline NdCrGa3 at its relaxed geometry, from the Alexandria database.

a = 4.679 Å, b = 4.679 Å, c = 4.679 Å
α = 90.00°, β = 90.00°, γ = 90.00°
Space group Pm-3m (No. 221)
Unique sites:
Nd1 0.000 0.000 0.000 (multiplicity 1)
Cr1 0.500 0.500 0.500 (multiplicity 1)
Ga1 0.000 0.500 0.500 (multiplicity 3)

Results
Formation enthalpy at 0 K, meV/atom: -245


Entry 14:
The following is a PBE calculation of crystalline Tm5In4Ag at its relaxed geometry, from the Alexandria database.

a = 3.545 Å, b = 3.545 Å, c = 20.071 Å
α = 90.00°, β = 90.00°, γ = 90.00°
Space group P4/mmm (No. 123)
Unique sites:
Tm1 0.000 0.000 0.000 (multiplicity 1)
Tm2 0.000 0.000 0.206 (multiplicity 2)
Tm3 0.000 0.000 0.410 (multiplicity 2)
In1 0.500 0.500 0.103 (multiplicity 2)
In2 0.500 0.500 0.308 (multiplicity 2)
Ag1 0.500 0.500 0.500 (multiplicity 1)

Results
Formation enthalpy at 0 K, meV/atom: -419


Entry 15:
The following is a PBE calculation of crystalline BaPtS2 at its relaxed geometry, from the Alexandria database.

a = 3.8024 Å, b = 3.8024 Å, c = 25.4319 Å
α = 90.00°, β = 90.00°, γ = 120.00°
Space group R-3m (No. 166, hexagonal axes)
Unique sites:
Ba1 0.0000 0.0000 0.0000 (multiplicity 3)
Pt1 0.0000 0.0000 0.5000 (multiplicity 3)
S1 0.0000 0.0000 0.1219 (multiplicity 6)

Results
Formation energy from raw total energies, eV per atom: -0.33


Entry 16:
The following is a PBE calculation of crystalline AsWBr2 at its relaxed geometry, from the Alexandria database.

a = 4.858 Å, b = 4.858 Å, c = 3.245 Å
α = 90.00°, β = 90.00°, γ = 90.00°
Space group P4/mmm (No. 123)
Unique sites:
As1 0.000 0.000 0.000 (multiplicity 1)
W1 0.500 0.500 0.000 (multiplicity 1)
Br1 0.000 0.500 0.500 (multiplicity 2)

Results
Formation energy from raw total energies, eV per atom: 1.29
E above lowest polymorph, meV/atom: 1312


What did we get for volume? Answer: 96; 474; 319; 881; 271; 243; 186; 116; 83; 164; 323; 455; 102; 252; 318; 77 Å³/cell, in the order shown.
What did we get for D(E_F)? Answer: 3.1; 2.4; 2.6; 1.9; 2.4; 7.1; 1.0; 0.5; 3.1; 2.4; 5.2; 11.3; 2.6; 6.5; 5.3; 3.2 states/eV/f.u., in the order shown.